Material: Ca2HgF
Method: DFT, PBE
State: relaxed

The space group is Fm-3m (No. 225) and the conventional cell measures 7.385, 7.385 and 7.385 Å, with angles of 90.00, 90.00 and 90.00 degrees. The distinct sites, in fractional coordinates, are Ca at (0.250, 0.250, 0.250), Hg at (0.000, 0.000, 0.000) and F at (0.000, 0.000, 0.500).

Its calculated total energy is -2.66 eV/atom. The calculation puts the energy relative to the elements, uncorrected at -1.12 eV/atom. Its total moment is 0.00 μB/atom. The calculation puts the volume at 25.173 Å³ per atom. As for the crystal system: cubic. The calculation puts the density of states at the Fermi level at 0.8184 states/eV/atom. The excess energy over the best structure of this formula in the dataset is 462 meV/atom.